The following is a PBE-GGA calculation of crystalline KIrAu2 at its relaxed geometry, from Alexandria.

Cell: 2.733 5.624 11.426 Å, 90.00 90.00 90.00°
Fractional coordinates of all 8 atoms:
K (0.000, 0.000, 0.000)
K (0.500, 0.500, 0.500)
Ir (0.000, 0.000, 0.500)
Ir (0.500, 0.500, 0.000)
Au (0.000, 0.500, 0.206)
Au (0.000, 0.500, 0.794)
Au (0.500, 0.000, 0.294)
Au (0.500, 0.000, 0.706)

Results
- magnetic moment (μB/cell) = 0.00
- calculated formation energy (meV per atom) = 423